The following is a DFT calculation (PBE) of a geometry-optimized CuIrOs structure.

## Properties
- Total magnetization: 0.00 μB/f.u.
- Energy above the most stable polymorph in this dataset: 0.000 eV per formula unit
- Space-group type: P4/nmm, No. 129
- Formation energy from the elements: 1.25 kcal/mol of atoms

a = 2.7339 Å, b = 2.7339 Å, c = 11.0014 Å
α = 90.00°, β = 90.00°, γ = 90.00°
Positions (direct):
Cu  0.2500  0.2500  0.0740
Cu  0.7500  0.7500  0.9260
Ir  0.2500  0.2500  0.7580
Ir  0.7500  0.7500  0.2420
Os  0.2500  0.2500  0.4104
Os  0.7500  0.7500  0.5896

---

The following is a DFT calculation (PBE) of a geometry-optimized ReNiIr2 structure.

## Properties
- Total magnetization: 0.01 μB/f.u.
- Energy above the most stable polymorph in this dataset: 0.536 eV per formula unit
- Space-group type: Cmmm, No. 65
- Formation energy from the elements: -0.25 kcal/mol of atoms

a = 4.6519 Å, b = 4.6519 Å, c = 2.7174 Å
α = 90.00°, β = 90.00°, γ = 108.83°
Positions (direct):
Re  0.0000  0.0000  0.0000
Ni  0.5000  0.5000  0.0000
Ir  0.0000  0.5000  0.5000
Ir  0.5000  0.0000  0.5000